No. 1
Computed, not measured: Ba2CoRu after structural relaxation at the PBE level of DFT.

**Density**: 6.2 g cm⁻³
**DOS(E_F)**: 1.8085 states/eV/atom

```
data_Ba2CoRu
_space_group_name_H-M_alt 'R -3 m'
_space_group_IT_number 166
_space_group_name_Hall '-R 3 2"'
_cell_length_a 3.8373
_cell_length_b 3.8373
_cell_length_c 27.2048
_cell_angle_alpha 90.00
_cell_angle_beta 90.00
_cell_angle_gamma 120.00
loop_
_atom_site_label
_atom_site_type_symbol
_atom_site_fract_x
_atom_site_fract_y
_atom_site_fract_z
_atom_site_occupancy
Ba1 Ba 0.0000 0.0000 0.2487 1
Co1 Co 0.0000 0.0000 0.0000 1
Ru1 Ru 0.0000 0.0000 0.5000 1
```

No. 2
Computed, not measured: BaCo2Ru after structural relaxation at the PBE level of DFT.

**Density**: 7.3 g cm⁻³
**DOS(E_F)**: 1.3425 states/eV/atom

```
data_BaCo2Ru
_space_group_name_H-M_alt 'I m m m'
_space_group_IT_number 71
_space_group_name_Hall '-I 2 2'
_cell_length_a 3.1584
_cell_length_b 5.4252
_cell_length_c 9.4087
_cell_angle_alpha 90.00
_cell_angle_beta 90.00
_cell_angle_gamma 90.00
loop_
_atom_site_label
_atom_site_type_symbol
_atom_site_fract_x
_atom_site_fract_y
_atom_site_fract_z
_atom_site_occupancy
Ba1 Ba 0.0000 0.0000 0.0000 1
Co1 Co 0.0000 0.5000 0.1988 1
Ru1 Ru 0.0000 0.0000 0.5000 1
```

No. 3
Computed, not measured: Ba2CoRu after structural relaxation at the PBE level of DFT.

**Density**: 6.4 g cm⁻³
**DOS(E_F)**: 1.8686 states/eV/atom

```
data_Ba2CoRu
_space_group_name_H-M_alt 'F m -3 m'
_space_group_IT_number 225
_space_group_name_Hall '-F 4 2 3'
_cell_length_a 7.6674
_cell_length_b 7.6674
_cell_length_c 7.6674
_cell_angle_alpha 90.00
_cell_angle_beta 90.00
_cell_angle_gamma 90.00
loop_
_atom_site_label
_atom_site_type_symbol
_atom_site_fract_x
_atom_site_fract_y
_atom_site_fract_z
_atom_site_occupancy
Ba1 Ba 0.2500 0.2500 0.2500 1
Co1 Co 0.0000 0.0000 0.0000 1
Ru1 Ru 0.0000 0.0000 0.5000 1
```

Number 1: E -4.009 eV per atom, energy above the lowest structure with this stoichiometry 0.847 eV per atom. Number 2: E -5.403 eV per atom, energy above the lowest structure with this stoichiometry 0.678 eV per atom. Number 3: E -4.177 eV per atom, energy above the lowest structure with this stoichiometry 0.679 eV per atom.